Compound: SrAlMo2
Source: Alexandria
Functional: PBE
Structure: optimized geometry Values from VASP.

```
&SYSTEM
  ibrav = 0, nat = 4, ntyp = 3
/
ATOMIC_SPECIES
Sr 87.62 Sr.upf
Al 26.98 Al.upf
Mo 95.94 Mo.upf
ATOMIC_POSITIONS crystal
Sr 0.750 0.750 0.750
Al 0.250 0.250 0.250
Mo 0.975 0.975 0.066
Mo 0.525 0.525 0.434
CELL_PARAMETERS angstrom
-5.126 -0.740 0.343
-4.004 -3.301 0.139
-0.434 -0.657 5.854
```

---

! SrAl2Mo, optimized geometry, DFT PBE; values from VASP
&SYSTEM
  ibrav = 0, nat = 4, ntyp = 3
/
ATOMIC_SPECIES
Al 26.98 Al.upf
Sr 87.62 Sr.upf
Mo 95.94 Mo.upf
ATOMIC_POSITIONS crystal
Al 0.982 0.982 0.982
Al 0.518 0.518 0.518
Sr 0.750 0.750 0.750
Mo 0.250 0.250 0.250
CELL_PARAMETERS angstrom
8.926 0.009 0.005
8.256 3.391 0.005
8.256 1.634 2.972
! Energy above the lowest structure with this stoichiometry (meV/atom): 316

---

Compound: Sr2AlMo
Source: Alexandria
Functional: PBE
Structure: optimized geometry Values from VASP.

```
&SYSTEM
  ibrav = 0, nat = 4, ntyp = 3
/
ATOMIC_SPECIES
Sr 87.62 Sr.upf
Mo 95.94 Mo.upf
Al 26.98 Al.upf
ATOMIC_POSITIONS crystal
Sr 0.000 0.000 0.000
Sr 0.500 0.500 0.000
Mo 0.000 0.500 0.500
Al 0.500 0.000 0.500
CELL_PARAMETERS angstrom
5.983 0.100 -0.011
-2.368 5.495 -0.011
0.008 0.012 3.208
```

---

Compound: SrTiAl2Mo
Source: Alexandria
Functional: PBE
Structure: optimized geometry Values from VASP.

```
&SYSTEM
  ibrav = 0, nat = 5, ntyp = 4
/
ATOMIC_SPECIES
Mo 95.94 Mo.upf
Al 26.98 Al.upf
Sr 87.62 Sr.upf
Ti 47.87 Ti.upf
ATOMIC_POSITIONS crystal
Mo 0.000 0.500 0.000
Al 0.000 0.000 0.500
Al 0.500 0.000 0.000
Sr 0.000 0.000 0.000
Ti 0.500 0.500 0.500
CELL_PARAMETERS angstrom
5.186 0.000 0.000
0.000 4.727 0.000
0.000 0.000 5.186
```

---

Compound: Sr2TiAlMo
Source: Alexandria
Functional: PBE
Structure: optimized geometry Values from VASP.

```
&SYSTEM
  ibrav = 0, nat = 5, ntyp = 4
/
ATOMIC_SPECIES
Mo 95.94 Mo.upf
Ti 47.87 Ti.upf
Al 26.98 Al.upf
Sr 87.62 Sr.upf
ATOMIC_POSITIONS crystal
Mo 0.500 0.500 0.500
Ti 0.000 0.500 0.000
Al 0.000 0.000 0.000
Sr 0.500 0.000 0.000
Sr 0.000 0.000 0.500
CELL_PARAMETERS angstrom
-4.310 -3.378 -2.480
3.508 -3.008 -1.999
-0.141 -3.439 4.929
```

---

! TaAlMo, optimized geometry, DFT PBE; values from VASP
&SYSTEM
  ibrav = 0, nat = 3, ntyp = 3
/
ATOMIC_SPECIES
Mo 95.94 Mo.upf
Ta 180.95 Ta.upf
Al 26.98 Al.upf
ATOMIC_POSITIONS crystal
Mo 0.663 0.663 0.000
Ta 0.335 0.335 0.000
Al 0.002 0.002 0.000
CELL_PARAMETERS angstrom
-2.731 2.542 3.222
1.488 0.100 4.699
0.993 1.086 -4.705
! Energy above the lowest structure with this stoichiometry (meV/atom): 133

---

! TaAl2Mo, optimized geometry, DFT PBE; values from VASP
&SYSTEM
  ibrav = 0, nat = 4, ntyp = 3
/
ATOMIC_SPECIES
Al 26.98 Al.upf
Mo 95.94 Mo.upf
Ta 180.95 Ta.upf
ATOMIC_POSITIONS crystal
Al 0.000 0.000 0.006
Al 0.000 0.000 0.494
Mo 0.500 0.500 0.250
Ta 0.500 0.500 0.750
CELL_PARAMETERS angstrom
2.781 0.009 0.000
-0.606 2.715 0.000
0.000 0.000 8.498
! Energy above the lowest structure with this stoichiometry (meV/atom): 68

---

! TaAlMo, optimized geometry, DFT PBE; values from VASP
&SYSTEM
  ibrav = 0, nat = 3, ntyp = 3
/
ATOMIC_SPECIES
Al 26.98 Al.upf
Ta 180.95 Ta.upf
Mo 95.94 Mo.upf
ATOMIC_POSITIONS crystal
Al 0.998 0.998 0.000
Ta 0.660 0.660 0.000
Mo 0.342 0.342 0.000
CELL_PARAMETERS angstrom
-5.507 2.722 -2.944
-4.617 -0.469 -4.987
3.917 -2.189 5.126
! Energy above the lowest structure with this stoichiometry (meV/atom): 181

---

! TaAlMo, optimized geometry, DFT PBE; values from VASP
&SYSTEM
  ibrav = 0, nat = 6, ntyp = 3
/
ATOMIC_SPECIES
Ta 180.95 Ta.upf
Al 26.98 Al.upf
Mo 95.94 Mo.upf
ATOMIC_POSITIONS crystal
Ta 0.750 0.874 0.376
Ta 0.250 0.126 0.624
Al 0.500 0.000 0.000
Al 0.000 0.500 0.000
Mo 0.500 0.500 0.000
Mo 0.000 0.500 0.500
CELL_PARAMETERS angstrom
5.194 -0.045 0.084
-2.573 4.512 -0.084
2.579 1.490 4.257
! Energy above the lowest structure with this stoichiometry (meV/atom): 39

---

! TaAl2Mo, optimized geometry, DFT PBE; values from VASP
&SYSTEM
  ibrav = 0, nat = 4, ntyp = 3
/
ATOMIC_SPECIES
Al 26.98 Al.upf
Ta 180.95 Ta.upf
Mo 95.94 Mo.upf
ATOMIC_POSITIONS crystal
Al 0.500 0.500 0.000
Al 0.000 0.000 0.000
Ta 0.000 0.500 0.500
Mo 0.500 0.000 0.500
CELL_PARAMETERS angstrom
-2.610 -1.897 -1.174
2.248 -3.616 0.845
-1.689 -0.125 3.957
! Energy above the lowest structure with this stoichiometry (meV/atom): 8

---

! TaAl2Mo, optimized geometry, DFT PBE; values from VASP
&SYSTEM
  ibrav = 0, nat = 4, ntyp = 3
/
ATOMIC_SPECIES
Mo 95.94 Mo.upf
Ta 180.95 Ta.upf
Al 26.98 Al.upf
ATOMIC_POSITIONS crystal
Mo 0.501 0.499 0.000
Ta 0.750 0.250 0.500
Al 0.000 0.000 0.000
Al 0.250 0.750 0.500
CELL_PARAMETERS angstrom
4.909 -0.003 0.000
1.633 4.629 0.000
-3.271 -2.313 2.837
! Energy above the lowest structure with this stoichiometry (meV/atom): 81

---

! TaAl2Mo, optimized geometry, DFT PBE; values from VASP
&SYSTEM
  ibrav = 0, nat = 4, ntyp = 3
/
ATOMIC_SPECIES
Ta 180.95 Ta.upf
Al 26.98 Al.upf
Mo 95.94 Mo.upf
ATOMIC_POSITIONS crystal
Ta 0.750 0.250 0.500
Al 0.494 0.494 0.000
Al 0.006 0.006 0.000
Mo 0.250 0.750 0.500
CELL_PARAMETERS angstrom
5.141 0.004 -0.003
2.153 4.669 0.003
-3.266 -2.932 2.678
! Energy above the lowest structure with this stoichiometry (meV/atom): 19

---

! TaAl2Mo, optimized geometry, DFT PBE; values from VASP
&SYSTEM
  ibrav = 0, nat = 4, ntyp = 3
/
ATOMIC_SPECIES
Mo 95.94 Mo.upf
Ta 180.95 Ta.upf
Al 26.98 Al.upf
ATOMIC_POSITIONS crystal
Mo 0.496 0.496 0.496
Ta 0.252 0.252 0.252
Al 0.002 0.002 0.002
Al 0.751 0.751 0.751
CELL_PARAMETERS angstrom
9.533 0.003 0.002
9.102 2.833 0.002
9.102 1.385 2.472
! Energy above the lowest structure with this stoichiometry (meV/atom): 267

---

! TaAl2Mo, optimized geometry, DFT PBE; values from VASP
&SYSTEM
  ibrav = 0, nat = 4, ntyp = 3
/
ATOMIC_SPECIES
Ta 180.95 Ta.upf
Al 26.98 Al.upf
Mo 95.94 Mo.upf
ATOMIC_POSITIONS crystal
Ta 0.500 0.500 0.750
Al 0.000 0.000 0.493
Al 0.000 0.000 0.007
Mo 0.500 0.500 0.250
CELL_PARAMETERS angstrom
-0.817 -2.140 -1.577
1.503 -2.652 2.820
-4.921 -0.032 2.592
! Energy above the lowest structure with this stoichiometry (meV/atom): 64

---

! TaAl3Mo, optimized geometry, DFT PBE; values from VASP
&SYSTEM
  ibrav = 0, nat = 5, ntyp = 3
/
ATOMIC_SPECIES
Al 26.98 Al.upf
Mo 95.94 Mo.upf
Ta 180.95 Ta.upf
ATOMIC_POSITIONS crystal
Al 0.000 0.500 0.000
Al 0.500 0.000 0.000
Al 0.000 0.000 0.500
Mo 0.500 0.500 0.500
Ta 0.000 0.000 0.000
CELL_PARAMETERS angstrom
4.905 0.000 0.000
0.000 4.905 0.000
0.000 0.000 4.905
! Energy above the lowest structure with this stoichiometry (meV/atom): 354

---

! TaAl2Mo, optimized geometry, DFT PBE; values from VASP
&SYSTEM
  ibrav = 0, nat = 4, ntyp = 3
/
ATOMIC_SPECIES
Ta 180.95 Ta.upf
Al 26.98 Al.upf
Mo 95.94 Mo.upf
ATOMIC_POSITIONS crystal
Ta 0.500 0.500 0.733
Al 0.500 0.500 0.250
Al 0.000 0.000 0.011
Mo 0.000 0.000 0.507
CELL_PARAMETERS angstrom
3.361 0.000 0.000
0.000 3.361 0.000
0.000 0.000 5.818
! Energy above the lowest structure with this stoichiometry (meV/atom): 20

---

! TaAlMo, optimized geometry, DFT PBE; values from VASP
&SYSTEM
  ibrav = 0, nat = 3, ntyp = 3
/
ATOMIC_SPECIES
Al 26.98 Al.upf
Mo 95.94 Mo.upf
Ta 180.95 Ta.upf
ATOMIC_POSITIONS crystal
Al 0.996 0.996 0.004
Mo 0.338 0.338 0.662
Ta 0.666 0.666 0.334
CELL_PARAMETERS angstrom
7.047 -0.005 0.004
6.327 2.689 -0.009
0.720 -0.684 2.605
! Energy above the lowest structure with this stoichiometry (meV/atom): 71

---

! TaAl2Mo, optimized geometry, DFT PBE; values from VASP
&SYSTEM
  ibrav = 0, nat = 4, ntyp = 3
/
ATOMIC_SPECIES
Mo 95.94 Mo.upf
Al 26.98 Al.upf
Ta 180.95 Ta.upf
ATOMIC_POSITIONS crystal
Mo 0.500 0.250 0.250
Al 0.000 0.031 0.007
Al 0.000 0.469 0.493
Ta 0.500 0.750 0.750
CELL_PARAMETERS angstrom
4.277 0.000 0.000
0.000 2.784 0.014
0.000 1.543 5.399
! Energy above the lowest structure with this stoichiometry (meV/atom): 31

---

Compound: TaAl4Mo
Source: Alexandria
Functional: PBE
Structure: optimized geometry Values from VASP.

```
&SYSTEM
  ibrav = 0, nat = 6, ntyp = 3
/
ATOMIC_SPECIES
Ta 180.95 Ta.upf
Al 26.98 Al.upf
Mo 95.94 Mo.upf
ATOMIC_POSITIONS crystal
Ta 0.000 0.000 0.000
Al 0.375 0.876 0.375
Al 0.375 0.375 0.876
Al 0.375 0.375 0.375
Al 0.876 0.375 0.375
Mo 0.750 0.750 0.750
CELL_PARAMETERS angstrom
0.000 3.584 3.584
3.584 0.000 3.584
3.584 3.584 0.000
```

---

! TaAl2Mo, optimized geometry, DFT PBE; values from VASP
&SYSTEM
  ibrav = 0, nat = 8, ntyp = 3
/
ATOMIC_SPECIES
Al 26.98 Al.upf
Ta 180.95 Ta.upf
Mo 95.94 Mo.upf
ATOMIC_POSITIONS crystal
Al 0.375 0.385 0.750
Al 0.135 0.625 0.250
Al 0.875 0.865 0.750
Al 0.615 0.125 0.250
Ta 0.000 0.000 0.000
Ta 0.750 0.250 0.500
Mo 0.250 0.750 0.500
Mo 0.500 0.500 0.000
CELL_PARAMETERS angstrom
-0.992 -4.878 5.024
5.924 -3.291 -2.026
3.915 -2.562 3.264
! Energy above the lowest structure with this stoichiometry (meV/atom): 561

---

| no. | D(E_F) (states/eV per atom) | energy of formation from the pure elements (meV/atom) | DFT total energy (eV/cell) |
| --- | --- | --- | --- |
| 1 | 0.9518 | 655.8 | -24.5 |
| 2 | 0.4292 | 335.5 | -18.7 |
| 3 | 1.0494 | 795.6 | -14.8 |
| 4 | 1.1781 | 2203.3 | -16.9 |
| 5 | 0.3365 | 1276.8 | -19.4 |
| 6 | 0.3991 | -79.1 | -26.7 |
| 7 | 0.6465 | -156.3 | -30.8 |
| 8 | 0.5339 | -31.3 | -26.5 |
| 9 | 0.6751 | -173.1 | -53.9 |
| 10 | 0.5484 | -215.8 | -31.0 |
| 11 | 0.8171 | -143.3 | -30.7 |
| 12 | 0.6244 | -204.4 | -31.0 |
| 13 | 0.6486 | 42.6 | -30.0 |
| 14 | 0.5682 | -160.2 | -30.8 |
| 15 | 0.5823 | 1372.8 | -27.0 |
| 16 | 0.7230 | -204.2 | -31.0 |
| 17 | 0.4448 | -141.0 | -26.8 |
| 18 | 0.5186 | -193.2 | -30.9 |
| 19 | 0.7519 | -84.4 | -38.2 |
| 20 | 0.7556 | 337.5 | -57.6 |